# Rb2VH2F6 (PBE+U, optimized geometry)
data_Rb2VH2F6
_symmetry_space_group_name_H-M 'C 1 2/m 1'
_symmetry_Int_Tables_number 12
_cell_length_a 10.577
_cell_length_b 5.718
_cell_length_c 6.567
_cell_angle_alpha 90.00
_cell_angle_beta 116.91
_cell_angle_gamma 90.00
loop_
_symmetry_equiv_pos_as_xyz
'x,y,z'
'-x,-y,-z'
'-x,y,-z'
'x,-y,z'
'x+1/2,y+1/2,z'
'-x+1/2,-y+1/2,-z'
'-x+1/2,y+1/2,-z'
'x+1/2,-y+1/2,z'
loop_
_atom_site_label
_atom_site_type_symbol
_atom_site_fract_x
_atom_site_fract_y
_atom_site_fract_z
_atom_site_occupancy
Rb1 Rb 0.204 0.000 0.175 1
V1 V 0.000 0.000 0.500 1
H1 H 0.069 0.500 0.280 1
F1 F 0.050 0.241 0.746 1
F2 F 0.168 0.500 0.309 1
# E_tot (eV per atom): -4.714
# Magnetic moment (μB per formula unit): 3.00